Compound: BaLiCd4Ag2
Source: Alexandria via LeMat-Bulk
Functional: GGA-PBE
Structure: optimized geometry

Computed properties:
E   -1.84 eV per atom
Symmetry   No. 166
Volume   24.828 Å³/atom
ΔH_f (0 K)   -194 meV per atom

Cell lengths 4.8037, 4.8037, 10.3187 Å; angles 76.54, 76.54, 60.00 degrees
Last column: nearest neighbours and their distance in Å.
Atoms (fractional coordinates):
Ag  0.2319  0.2319  0.3042  7 Cd 2.89-2.99
Cd  0.4069  0.4069  0.7793  1 Li 2.78, 3 Ag 2.89
Li  0.5000  0.5000  0.5000  8 Cd 2.78-2.96
Ag  0.7681  0.7681  0.6958  7 Cd 2.89-2.99
Cd  0.8684  0.8684  0.3947  4 Ag 2.92-2.99, 3 Li 2.96
Cd  0.1316  0.1316  0.6053  4 Ag 2.92-2.99, 3 Li 2.96
Cd  0.5931  0.5931  0.2207  1 Li 2.78, 3 Ag 2.89
Ba  0.0000  0.0000  0.0000  8 Cd 3.54-3.92

---

Compound: Li2PW
Source: Alexandria via LeMat-Bulk
Functional: GGA-PBE
Structure: optimized geometry

Computed properties:
E   -5.58 eV per atom
Symmetry   No. 71
Volume   13.804 Å³/atom
ΔH_f (0 K)   -31 meV per atom

Cell lengths 5.3563, 5.3563, 5.3563 Å; angles 148.76, 135.78, 55.13 degrees
Last column: nearest neighbours and their distance in Å.
Atoms (fractional coordinates):
Li  0.9741  0.9741  0.0000  4 Li 2.53, 2 P 2.57
Li  0.5259  0.5259  0.0000  4 Li 2.53, 2 P 2.57
P  0.7500  0.2500  0.5000  4 W 2.48, 4 Li 2.57
W  0.2500  0.7500  0.5000  4 P 2.48

---

Compound: CaHgOF2
Source: Alexandria via LeMat-Bulk
Functional: GGA-PBE
Structure: optimized geometry

Computed properties:
E   -4.08 eV per atom
Formation energy without anion corrections   -1.87 eV per atom
Symmetry   No. 123
Volume   17.143 Å³/atom
E above lowest polymorph   0.000 eV per atom

Cell lengths 4.2611, 4.2611, 4.7207 Å; angles 90.00, 90.00, 90.00 degrees
Last column: nearest neighbours and their distance in Å.
Atoms (fractional coordinates):
Hg  0.5000  0.5000  0.5000  4 O 3.01, 8 F 3.18
F  0.5000  0.0000  0.0000  2 Ca 2.13
Ca  0.0000  0.0000  0.0000  4 F 2.13, 2 O 2.36
F  0.0000  0.5000  0.0000  2 Ca 2.13
O  0.0000  0.0000  0.5000  2 Ca 2.36